[1]
ErScSiAu after structural relaxation. Source: the Alexandria database, functional PBE.

Geometry as CIF:
```
data_ErScSiAu
_cell_length_a 6.911
_cell_length_b 6.911
_cell_length_c 6.911
_cell_angle_alpha 90.00
_cell_angle_beta 90.00
_cell_angle_gamma 90.00
_symmetry_space_group_name_H-M 'F -4 3 m'
_symmetry_Int_Tables_number 216
_symmetry_space_group_name_Hall 'F -4 2 3'
loop_
_atom_site_label
_atom_site_type_symbol
_atom_site_fract_x
_atom_site_fract_y
_atom_site_fract_z
Er1 Er 0.000 0.000 0.000
Sc1 Sc 0.000 0.000 0.500
Si1 Si 0.250 0.250 0.750
Au1 Au 0.250 0.250 0.250
```

Properties
DOS(E_F): 4.17 states/eV/f.u.
Crystal system: cubic
Calculated volume: 20.626 Å³ per atom
Electronic total energy: -5.544 eV/atom

=====

[2]
TbDyEr2In4 after structural relaxation. Source: the Alexandria database, functional PBE.

Geometry as CIF:
```
data_TbDyEr2In4
_cell_length_a 5.2970
_cell_length_b 5.2970
_cell_length_c 26.0083
_cell_angle_alpha 90.00
_cell_angle_beta 90.00
_cell_angle_gamma 120.00
_symmetry_space_group_name_H-M 'R -3 m'
_symmetry_Int_Tables_number 166
_symmetry_space_group_name_Hall '-R 3 2"'
loop_
_atom_site_label
_atom_site_type_symbol
_atom_site_fract_x
_atom_site_fract_y
_atom_site_fract_z
Tb1 Tb 0.0000 0.0000 0.0000
Dy1 Dy 0.0000 0.0000 0.5000
Er1 Er 0.0000 0.0000 0.2500
In1 In 0.0000 0.0000 0.1252
In2 In 0.0000 0.0000 0.3752
```

Properties
DOS(E_F): 3.78 states/eV/f.u.
Crystal system: trigonal
Energy relative to the elements: -0.4549 eV/atom
Calculated volume: 26.333 Å³ per atom

=====

[3]
CaEuGdHg after structural relaxation. Source: the Alexandria database, functional PBE.

Geometry as CIF:
```
data_CaEuGdHg
_cell_length_a 7.934
_cell_length_b 7.934
_cell_length_c 7.934
_cell_angle_alpha 90.00
_cell_angle_beta 90.00
_cell_angle_gamma 90.00
_symmetry_space_group_name_H-M 'F -4 3 m'
_symmetry_Int_Tables_number 216
_symmetry_space_group_name_Hall 'F -4 2 3'
loop_
_atom_site_label
_atom_site_type_symbol
_atom_site_fract_x
_atom_site_fract_y
_atom_site_fract_z
Ca1 Ca 0.000 0.000 0.000
Eu1 Eu 0.250 0.250 0.250
Gd1 Gd 0.250 0.250 0.750
Hg1 Hg 0.000 0.000 0.500
```

Properties
DOS(E_F): 5.26 states/eV/f.u.
Crystal system: cubic
Energy relative to the elements: -0.0857 eV/atom
Calculated volume: 31.219 Å³ per atom

=====

[4]
Zr2ScZn after structural relaxation. Source: the Alexandria database, functional PBE.

Geometry as CIF:
```
data_Zr2ScZn
_cell_length_a 3.091
_cell_length_b 5.273
_cell_length_c 5.251
_cell_angle_alpha 90.00
_cell_angle_beta 95.80
_cell_angle_gamma 90.00
_symmetry_space_group_name_H-M 'P 1 2/m 1'
_symmetry_Int_Tables_number 10
loop_
_symmetry_equiv_pos_as_xyz
'x,y,z'
'-x,-y,-z'
'-x,y,-z'
'x,-y,z'
loop_
_atom_site_label
_atom_site_type_symbol
_atom_site_fract_x
_atom_site_fract_y
_atom_site_fract_z
Zr1 Zr 0.192 0.000 0.258
Sc1 Sc 0.500 0.500 0.000
Zn1 Zn 0.000 0.500 0.500
```

Properties
DOS(E_F): 4.63 states/eV/f.u.
Crystal system: monoclinic
Energy relative to the elements: -0.0134 eV/atom
Calculated volume: 21.288 Å³ per atom

=====

> Number 4 is which compound?

Zr2ScZn

=====

Repeat the second record exactly.
TbDyEr2In4 after structural relaxation. Source: the Alexandria database, functional PBE.

Geometry as CIF:
```
data_TbDyEr2In4
_cell_length_a 5.2970
_cell_length_b 5.2970
_cell_length_c 26.0083
_cell_angle_alpha 90.00
_cell_angle_beta 90.00
_cell_angle_gamma 120.00
_symmetry_space_group_name_H-M 'R -3 m'
_symmetry_Int_Tables_number 166
_symmetry_space_group_name_Hall '-R 3 2"'
loop_
_atom_site_label
_atom_site_type_symbol
_atom_site_fract_x
_atom_site_fract_y
_atom_site_fract_z
Tb1 Tb 0.0000 0.0000 0.0000
Dy1 Dy 0.0000 0.0000 0.5000
Er1 Er 0.0000 0.0000 0.2500
In1 In 0.0000 0.0000 0.1252
In2 In 0.0000 0.0000 0.3752
```

Properties
DOS(E_F): 3.78 states/eV/f.u.
Crystal system: trigonal
Energy relative to the elements: -0.4549 eV/atom
Calculated volume: 26.333 Å³ per atom

=====

> Which of these has the lowest calculated volume?

ErScSiAu